{
  "formula": "Sr6Pd2AuBr3",
  "functional": "PBE",
  "state": "optimized geometry",
  "dft_energy_ev_per_atom": -3.515,
  "dos_at_fermi_per_ev_cell": 7.83,
  "cell": [[7.6178, -0.0027, 0.0005], [-3.8094, 6.5969, 0.0005], [-1.2696, -2.1983, 8.0395]],
  "species": ["Sr", "Sr", "Sr", "Sr", "Sr", "Sr", "Pd", "Pd", "Au", "Br", "Br", "Br"],
  "fractional_positions": [[0.9287, 0.5877, 0.7855], [0.7307, 0.7307, 0.2150], [0.0713, 0.4123, 0.2145], [0.5877, 0.9287, 0.7855], [0.2693, 0.2693, 0.7850], [0.4123, 0.0713, 0.2145], [0.3336, 0.6664, 0.0000], [0.6664, 0.3336, 0.0000], [0.0000, 0.0000, 0.0000], [0.1675, 0.8325, 0.5000], [0.8325, 0.1675, 0.5000], [0.5000, 0.5000, 0.5000]]
}